Entry 1:
An optimized crystal structure of Ag3Mo4, computed with PBE.

The structure in CIF format:
```
data_Ag3Mo4
_chemical_formula_sum 'Ag3 Mo4'
_symmetry_space_group_name_H-M 'P 1'
_symmetry_Int_Tables_number 1
_cell_length_a 11.381
_cell_length_b 11.381
_cell_length_c 11.381
_cell_angle_alpha 163.47
_cell_angle_beta 163.47
_cell_angle_gamma 23.46
loop_
_symmetry_equiv_pos_as_xyz
'x,y,z'
loop_
_atom_site_label
_atom_site_type_symbol
_atom_site_fract_x
_atom_site_fract_y
_atom_site_fract_z
Mo1 Mo 0.578 0.578 0.000
Mo2 Mo 0.134 0.134 0.000
Mo3 Mo 0.866 0.866 0.000
Mo4 Mo 0.422 0.422 0.000
Ag1 Ag 0.714 0.714 0.000
Ag2 Ag 0.000 0.000 0.000
Ag3 Ag 0.286 0.286 0.000
```

Computed properties:
ΔH_f (0 K)	0.46	eV/atom


Entry 2:
An optimized crystal structure of Li2TeRh, computed with PBE.

The structure in CIF format:
```
data_Li2TeRh
_chemical_formula_sum 'Li2 Te1 Rh1'
_symmetry_space_group_name_H-M 'P 1'
_symmetry_Int_Tables_number 1
_cell_length_a 4.501
_cell_length_b 3.306
_cell_length_c 4.630
_cell_angle_alpha 86.45
_cell_angle_beta 90.00
_cell_angle_gamma 90.00
loop_
_symmetry_equiv_pos_as_xyz
'x,y,z'
loop_
_atom_site_label
_atom_site_type_symbol
_atom_site_fract_x
_atom_site_fract_y
_atom_site_fract_z
Li1 Li 0.000 0.508 0.481
Li2 Li 0.000 0.992 0.019
Rh1 Rh 0.500 0.250 0.250
Te1 Te 0.500 0.750 0.750
```

Computed properties:
E_form (uncorrected)	-0.323	eV/atom


Entry 3:
An optimized crystal structure of CaY3As, computed with PBE.

The structure in CIF format:
```
data_CaY3As
_chemical_formula_sum 'Ca1 Y3 As1'
_symmetry_space_group_name_H-M 'P 1'
_symmetry_Int_Tables_number 1
_cell_length_a 5.469
_cell_length_b 5.469
_cell_length_c 5.469
_cell_angle_alpha 90.00
_cell_angle_beta 90.00
_cell_angle_gamma 90.00
loop_
_symmetry_equiv_pos_as_xyz
'x,y,z'
loop_
_atom_site_label
_atom_site_type_symbol
_atom_site_fract_x
_atom_site_fract_y
_atom_site_fract_z
Y1 Y 0.000 0.000 0.500
Y2 Y 0.000 0.500 0.000
Y3 Y 0.500 0.000 0.000
As1 As 0.500 0.500 0.500
Ca1 Ca 0.000 0.000 0.000
```

Computed properties:
relative energy among the computed polymorphs	6.99	eV/f.u.
ΔH_f (0 K)	1.01	eV/atom


Entry 4:
An optimized crystal structure of La3HgO, computed with PBE.

The structure in CIF format:
```
data_La3HgO
_chemical_formula_sum 'La6 Hg2 O2'
_symmetry_space_group_name_H-M 'P 1'
_symmetry_Int_Tables_number 1
_cell_length_a 5.036
_cell_length_b 8.110
_cell_length_c 7.032
_cell_angle_alpha 90.00
_cell_angle_beta 110.91
_cell_angle_gamma 90.00
loop_
_symmetry_equiv_pos_as_xyz
'x,y,z'
loop_
_atom_site_label
_atom_site_type_symbol
_atom_site_fract_x
_atom_site_fract_y
_atom_site_fract_z
La1 La 0.372 0.026 0.244
La2 La 0.628 0.974 0.756
La3 La 0.628 0.526 0.756
La4 La 0.951 0.750 0.402
La5 La 0.372 0.474 0.244
La6 La 0.049 0.250 0.598
Hg1 Hg 0.205 0.750 0.909
Hg2 Hg 0.795 0.250 0.091
O1 O 0.512 0.250 0.524
O2 O 0.488 0.750 0.476
```

Computed properties:
E_form (uncorrected)	-1.274	eV/atom
relative energy among the computed polymorphs	0.45	eV/f.u.


Uncorrected energy values, unit eV/atom, following the record order: -6.95; -3.90; -4.20; -5.28.
DOS(E_F) values, unit states/eV/atom, following the record order: 0.8378; 0.4196; 1.1065; 0.8851.